# LiMnIr, relaxed, DFT PBEsol
# E_form (meV per atom): 704.9
# Calculated density (g cm⁻³): 10.347
# E above lowest polymorph (meV per atom): 593
data_LiMnIr
_chemical_formula_sum 'Li4 Mn4 Ir4'
_symmetry_space_group_name_H-M 'F -4 3 m'
_symmetry_Int_Tables_number 216
_symmetry_space_group_name_Hall 'F -4 2 3'
_cell_length_a 5.464
_cell_length_b 5.464
_cell_length_c 5.464
_cell_angle_alpha 90.00
_cell_angle_beta 90.00
_cell_angle_gamma 90.00
loop_
_atom_site_label
_atom_site_type_symbol
_atom_site_fract_x
_atom_site_fract_y
_atom_site_fract_z
Li1 Li 0.000 0.000 0.000
Mn1 Mn 0.250 0.250 0.750
Ir1 Ir 0.250 0.250 0.250


# Ba2NaSiGe, relaxed, DFT PBEsol
# Formation energy from raw total energies (meV per atom): -26
# Calculated density (g cm⁻³): 3.423
data_Ba2NaSiGe
_chemical_formula_sum 'Ba2 Na1 Si1 Ge1'
_symmetry_space_group_name_H-M 'P 4/m m m'
_symmetry_Int_Tables_number 123
_symmetry_space_group_name_Hall '-P 4 2'
_cell_length_a 6.339
_cell_length_b 6.339
_cell_length_c 4.810
_cell_angle_alpha 90.00
_cell_angle_beta 90.00
_cell_angle_gamma 90.00
loop_
_atom_site_label
_atom_site_type_symbol
_atom_site_fract_x
_atom_site_fract_y
_atom_site_fract_z
Ba1 Ba 0.000 0.500 0.000
Na1 Na 0.000 0.000 0.500
Si1 Si 0.500 0.500 0.000
Ge1 Ge 0.500 0.500 0.500


# LaCr2Ag, relaxed, DFT PBEsol
# E_form (meV per atom): 646.4
# Calculated density (g cm⁻³): 7.468
# E above lowest polymorph (meV per atom): 296
data_LaCr2Ag
_chemical_formula_sum 'La2 Cr4 Ag2'
_symmetry_space_group_name_H-M 'C 1 2/m 1'
_symmetry_Int_Tables_number 12
_cell_length_a 9.655
_cell_length_b 3.083
_cell_length_c 5.492
_cell_angle_alpha 90.00
_cell_angle_beta 107.42
_cell_angle_gamma 90.00
loop_
_symmetry_equiv_pos_as_xyz
'x,y,z'
'-x,-y,-z'
'-x,y,-z'
'x,-y,z'
'x+1/2,y+1/2,z'
'-x+1/2,-y+1/2,-z'
'-x+1/2,y+1/2,-z'
'x+1/2,-y+1/2,z'
loop_
_atom_site_label
_atom_site_type_symbol
_atom_site_fract_x
_atom_site_fract_y
_atom_site_fract_z
La1 La 0.000 0.000 0.000
Cr1 Cr 0.236 0.000 0.622
Ag1 Ag 0.000 0.500 0.500


# BaTc2Pt, relaxed, DFT PBEsol
# E_form (meV per atom): 279.8
# Calculated density (g cm⁻³): 9.373
# E above lowest polymorph (meV per atom): 0
data_BaTc2Pt
_chemical_formula_sum 'Ba3 Tc6 Pt3'
_symmetry_space_group_name_H-M 'R 3 m'
_symmetry_Int_Tables_number 160
_symmetry_space_group_name_Hall 'R 3 -2"'
_cell_length_a 4.1998
_cell_length_b 4.1998
_cell_length_c 18.3767
_cell_angle_alpha 90.00
_cell_angle_beta 90.00
_cell_angle_gamma 120.00
loop_
_atom_site_label
_atom_site_type_symbol
_atom_site_fract_x
_atom_site_fract_y
_atom_site_fract_z
Ba1 Ba 0.0000 0.0000 0.0000
Tc1 Tc 0.0000 0.0000 0.1894
Tc2 Tc 0.0000 0.0000 0.5159
Pt1 Pt 0.0000 0.0000 0.7878


# SiMoRu, relaxed, DFT PBEsol
# Formation energy from raw total energies (meV per atom): -397
# Calculated density (g cm⁻³): 9.117
data_SiMoRu
_chemical_formula_sum 'Si1 Mo1 Ru1'
_symmetry_space_group_name_H-M 'P -6 m 2'
_symmetry_Int_Tables_number 187
_symmetry_space_group_name_Hall 'P -6 2'
_cell_length_a 4.1350
_cell_length_b 4.1350
_cell_length_c 2.7686
_cell_angle_alpha 90.00
_cell_angle_beta 90.00
_cell_angle_gamma 120.00
loop_
_atom_site_label
_atom_site_type_symbol
_atom_site_fract_x
_atom_site_fract_y
_atom_site_fract_z
Si1 Si 0.0000 0.0000 0.0000
Mo1 Mo 0.6667 0.3333 0.5000
Ru1 Ru 0.3333 0.6667 0.0000


# MnSiP2, relaxed, DFT PBEsol
# Formation energy from raw total energies (meV per atom): 50
# Calculated density (g cm⁻³): 4.828
data_MnSiP2
_chemical_formula_sum 'Mn2 Si2 P4'
_symmetry_space_group_name_H-M 'C 1 2/m 1'
_symmetry_Int_Tables_number 12
_cell_length_a 7.437
_cell_length_b 2.942
_cell_length_c 4.617
_cell_angle_alpha 90.00
_cell_angle_beta 99.18
_cell_angle_gamma 90.00
loop_
_symmetry_equiv_pos_as_xyz
'x,y,z'
'-x,-y,-z'
'-x,y,-z'
'x,-y,z'
'x+1/2,y+1/2,z'
'-x+1/2,-y+1/2,-z'
'-x+1/2,y+1/2,-z'
'x+1/2,-y+1/2,z'
loop_
_atom_site_label
_atom_site_type_symbol
_atom_site_fract_x
_atom_site_fract_y
_atom_site_fract_z
Mn1 Mn 0.000 0.000 0.000
Si1 Si 0.000 0.500 0.500
P1 P 0.230 0.500 0.207


# LiAg3, relaxed, DFT PBEsol
# E_form (meV per atom): -111.8
# Calculated density (g cm⁻³): 8.509
data_LiAg3
_chemical_formula_sum 'Li1 Ag3'
_symmetry_space_group_name_H-M 'P m m 2'
_symmetry_Int_Tables_number 25
_cell_length_a 2.836
_cell_length_b 4.628
_cell_length_c 4.916
_cell_angle_alpha 90.00
_cell_angle_beta 90.00
_cell_angle_gamma 90.00
loop_
_symmetry_equiv_pos_as_xyz
'x,y,z'
'-x,-y,z'
'-x,y,z'
'x,-y,z'
loop_
_atom_site_label
_atom_site_type_symbol
_atom_site_fract_x
_atom_site_fract_y
_atom_site_fract_z
Li1 Li 0.000 0.000 0.000
Ag1 Ag 0.000 0.500 0.675
Ag2 Ag 0.500 0.000 0.501
Ag3 Ag 0.500 0.500 0.170


# RbMnI3, relaxed, DFT PBEsol
# Formation energy from raw total energies (meV per atom): -730
# Calculated density (g cm⁻³): 4.699
data_RbMnI3
_chemical_formula_sum 'Rb1 Mn1 I3'
_symmetry_space_group_name_H-M 'P m -3 m'
_symmetry_Int_Tables_number 221
_symmetry_space_group_name_Hall '-P 4 2 3'
_cell_length_a 5.689
_cell_length_b 5.689
_cell_length_c 5.689
_cell_angle_alpha 90.00
_cell_angle_beta 90.00
_cell_angle_gamma 90.00
loop_
_atom_site_label
_atom_site_type_symbol
_atom_site_fract_x
_atom_site_fract_y
_atom_site_fract_z
Rb1 Rb 0.000 0.000 0.000
Mn1 Mn 0.500 0.500 0.500
I1 I 0.000 0.500 0.500


# Mn3HIr, relaxed, DFT PBEsol
# Calculated density (g cm⁻³): 12.658
# E (eV per atom): -8.56
data_Mn3HIr
_chemical_formula_sum 'Mn3 H1 Ir1'
_symmetry_space_group_name_H-M 'P m -3 m'
_symmetry_Int_Tables_number 221
_symmetry_space_group_name_Hall '-P 4 2 3'
_cell_length_a 3.608
_cell_length_b 3.608
_cell_length_c 3.608
_cell_angle_alpha 90.00
_cell_angle_beta 90.00
_cell_angle_gamma 90.00
loop_
_atom_site_label
_atom_site_type_symbol
_atom_site_fract_x
_atom_site_fract_y
_atom_site_fract_z
Mn1 Mn 0.000 0.000 0.500
H1 H 0.000 0.000 0.000
Ir1 Ir 0.500 0.500 0.500


# Tb2InAg, relaxed, DFT PBEsol
# E_form (meV per atom): -424.8
# Calculated density (g cm⁻³): 9.274
data_Tb2InAg
_chemical_formula_sum 'Tb2 In1 Ag1'
_symmetry_space_group_name_H-M 'P 4/m m m'
_symmetry_Int_Tables_number 123
_symmetry_space_group_name_Hall '-P 4 2'
_cell_length_a 3.551
_cell_length_b 3.551
_cell_length_c 7.674
_cell_angle_alpha 90.00
_cell_angle_beta 90.00
_cell_angle_gamma 90.00
loop_
_atom_site_label
_atom_site_type_symbol
_atom_site_fract_x
_atom_site_fract_y
_atom_site_fract_z
Tb1 Tb 0.000 0.000 0.237
In1 In 0.500 0.500 0.500
Ag1 Ag 0.500 0.500 0.000


# MnCr2Pt, relaxed, DFT PBEsol
# E_form (meV per atom): 62.7
# Calculated density (g cm⁻³): 11.250
data_MnCr2Pt
_chemical_formula_sum 'Mn4 Cr8 Pt4'
_symmetry_space_group_name_H-M 'F -4 3 m'
_symmetry_Int_Tables_number 216
_symmetry_space_group_name_Hall 'F -4 2 3'
_cell_length_a 5.935
_cell_length_b 5.935
_cell_length_c 5.935
_cell_angle_alpha 90.00
_cell_angle_beta 90.00
_cell_angle_gamma 90.00
loop_
_atom_site_label
_atom_site_type_symbol
_atom_site_fract_x
_atom_site_fract_y
_atom_site_fract_z
Mn1 Mn 0.000 0.000 0.000
Cr1 Cr 0.000 0.000 0.500
Cr2 Cr 0.250 0.250 0.750
Pt1 Pt 0.250 0.250 0.250


# NdAlGe, relaxed, DFT PBEsol
# E_form (meV per atom): -721.8
# Calculated density (g cm⁻³): 6.243
data_NdAlGe
_chemical_formula_sum 'Nd4 Al4 Ge4'
_symmetry_space_group_name_H-M 'I 41 m d'
_symmetry_Int_Tables_number 109
_symmetry_space_group_name_Hall 'I 4bw -2'
_cell_length_a 4.211
_cell_length_b 4.211
_cell_length_c 14.635
_cell_angle_alpha 90.00
_cell_angle_beta 90.00
_cell_angle_gamma 90.00
loop_
_atom_site_label
_atom_site_type_symbol
_atom_site_fract_x
_atom_site_fract_y
_atom_site_fract_z
Nd1 Nd 0.000 0.000 0.000
Al1 Al 0.000 0.000 0.416
Ge1 Ge 0.000 0.000 0.582